The following is a PBE-GGA calculation of PrUSeS2 after structural relaxation, from Alexandria via LeMat-Bulk.

Uncorrected energy, eV/cell: -67.98

a b c (Å): 4.3978 4.3978 13.5032
angles (deg): 90.00 90.00 90.00
Closest atoms and distances in Å follow each position.
Space group I4mm (No. 107)
Inequivalent atoms, fractional coordinates:
Pr  0.0000  0.0000  0.0000  4 S 2.79
U  0.0000  0.0000  0.2612  4 S 2.66
Se  0.0000  0.0000  0.6289  4 Pr 3.56, 4 U 3.59, 4 S 3.96
S  0.0000  0.5000  0.3727  2 U 2.66, 2 Pr 2.79

***

The following is a PBE-GGA calculation of MgSi2Ru after structural relaxation, from Alexandria via LeMat-Bulk.

Uncorrected energy, eV/cell: -22.35

a b c (Å): 3.0757 4.1889 4.8603
angles (deg): 90.00 90.09 90.00
Closest atoms and distances in Å follow each position.
Space group P2/m (No. 10)
Inequivalent atoms, fractional coordinates:
Mg  0.0000  0.0000  0.0000  8 Si 2.87, 4 Ru 2.87-2.88, 2 Mg 3.08
Si  0.4987  0.5000  0.7485  2 Si 2.42-2.44, 2 Ru 2.42
Ru  0.5000  0.0000  0.5000  4 Si 2.42

***

Q: uncorrected energy of number 2 (MgSi2Ru)?
A: -22.35 eV/cell

***

Q: Which of these has the lowest uncorrected energy?
A: PrUSeS2